Version one
# Cu4Bi4S9

Crystalline Cu4Bi4S9 at its relaxed geometry (GGA-PBE, OQMD).

a b c (Å): 31.9185 3.9475 11.6375
angles (deg): 90.00 90.00 90.00
Fractional coordinates of all 68 atoms:
S  0.6431  0.2500  0.0758
S  0.5202  0.2500  0.6302
S  0.0302  0.2500  0.3828
S  0.9698  0.7500  0.6172
S  0.0202  0.2500  0.8698
S  0.1534  0.2500  0.9111
S  0.6534  0.2500  0.5889
S  0.8156  0.2500  0.8190
S  0.5302  0.2500  0.1172
S  0.0869  0.2500  0.1119
S  0.4798  0.7500  0.3698
S  0.3156  0.2500  0.6810
S  0.6844  0.7500  0.3190
S  0.3569  0.7500  0.9242
S  0.9131  0.7500  0.8881
S  0.1844  0.7500  0.1810
S  0.5978  0.7500  0.8262
S  0.5869  0.2500  0.3881
S  0.7637  0.2500  0.4874
S  0.4698  0.7500  0.8828
S  0.6902  0.2500  0.7433
S  0.3466  0.7500  0.4111
S  0.9022  0.2500  0.3262
S  0.9798  0.7500  0.1302
S  0.0978  0.7500  0.6738
S  0.8466  0.7500  0.0889
S  0.3098  0.7500  0.2567
S  0.2637  0.2500  0.0126
S  0.7363  0.7500  0.9874
S  0.1902  0.2500  0.7567
S  0.4131  0.7500  0.6119
S  0.1431  0.2500  0.4242
S  0.8569  0.7500  0.5758
S  0.4022  0.2500  0.1737
S  0.8098  0.7500  0.2433
S  0.2363  0.7500  0.5126
Cu  0.1358  0.2500  0.6183
Cu  0.0162  0.2500  0.0948
Cu  0.5162  0.2500  0.4052
Cu  0.3073  0.2500  0.1631
Cu  0.1957  0.2500  0.0736
Cu  0.8642  0.7500  0.3817
Cu  0.8073  0.2500  0.3369
Cu  0.3642  0.7500  0.1183
Cu  0.6358  0.2500  0.8817
Cu  0.8043  0.7500  0.9264
Cu  0.3043  0.7500  0.5736
Cu  0.6957  0.2500  0.4264
Cu  0.4838  0.7500  0.5948
Cu  0.9838  0.7500  0.9052
Cu  0.1927  0.7500  0.6631
Cu  0.6927  0.7500  0.8369
Bi  0.1082  0.7500  0.2720
Bi  0.5283  0.2500  0.8694
Bi  0.6082  0.7500  0.2280
Bi  0.0283  0.2500  0.6306
Bi  0.4717  0.7500  0.1306
Bi  0.9107  0.2500  0.0961
Bi  0.9717  0.7500  0.3694
Bi  0.2210  0.2500  0.3559
Bi  0.0893  0.7500  0.9039
Bi  0.5893  0.7500  0.5961
Bi  0.3918  0.2500  0.7720
Bi  0.7210  0.2500  0.1441
Bi  0.8918  0.2500  0.7280
Bi  0.7790  0.7500  0.6441
Bi  0.2790  0.7500  0.8559
Bi  0.4107  0.2500  0.4039

Version two
# Cu4Bi4S9

Crystalline Cu4Bi4S9 at its relaxed geometry (GGA-PBE, OQMD).

a b c (Å): 33.1434 3.9293 11.3426
angles (deg): 90.00 90.00 90.00
Fractional coordinates of all 68 atoms:
Cu  0.1963  0.2500  0.9146
Cu  0.6401  0.2500  0.1290
Cu  0.1941  0.7500  0.3270
Cu  0.3037  0.7500  0.4146
Cu  0.5130  0.2500  0.5831
Cu  0.8059  0.2500  0.6730
Cu  0.4870  0.7500  0.4169
Cu  0.9870  0.7500  0.0831
Cu  0.6941  0.7500  0.1730
Cu  0.1401  0.2500  0.3710
Cu  0.6963  0.2500  0.5854
Cu  0.8037  0.7500  0.0854
Cu  0.3059  0.2500  0.8270
Cu  0.3599  0.7500  0.8710
Cu  0.8599  0.7500  0.6290
Cu  0.0130  0.2500  0.9169
Bi  0.0924  0.7500  0.0825
Bi  0.1108  0.7500  0.7118
Bi  0.0288  0.7500  0.3641
Bi  0.3892  0.2500  0.2118
Bi  0.9712  0.2500  0.6359
Bi  0.5288  0.7500  0.1359
Bi  0.5924  0.7500  0.4175
Bi  0.2769  0.7500  0.1384
Bi  0.4076  0.2500  0.5825
Bi  0.6108  0.7500  0.7882
Bi  0.9076  0.2500  0.9175
Bi  0.7231  0.2500  0.8616
Bi  0.7769  0.7500  0.3616
Bi  0.2231  0.2500  0.6384
Bi  0.8892  0.2500  0.2882
Bi  0.4712  0.2500  0.8641
S  0.9186  0.7500  0.1307
S  0.8516  0.7500  0.4325
S  0.8168  0.2500  0.1891
S  0.1546  0.2500  0.0751
S  0.4521  0.7500  0.0166
S  0.3516  0.7500  0.0675
S  0.0240  0.2500  0.1393
S  0.7380  0.7500  0.0235
S  0.9760  0.7500  0.8607
S  0.8078  0.7500  0.7725
S  0.2620  0.2500  0.9765
S  0.8914  0.2500  0.6887
S  0.1484  0.2500  0.5675
S  0.7620  0.2500  0.5235
S  0.5479  0.2500  0.9834
S  0.0814  0.2500  0.8693
S  0.6546  0.2500  0.4249
S  0.6922  0.2500  0.2725
S  0.4760  0.7500  0.6393
S  0.3454  0.7500  0.5751
S  0.5814  0.2500  0.6307
S  0.6086  0.7500  0.1887
S  0.0479  0.2500  0.5166
S  0.6484  0.2500  0.9325
S  0.3914  0.2500  0.8113
S  0.2380  0.7500  0.4765
S  0.6832  0.7500  0.6891
S  0.1922  0.2500  0.2275
S  0.5240  0.2500  0.3607
S  0.1832  0.7500  0.8109
S  0.3168  0.2500  0.3109
S  0.4186  0.7500  0.3693
S  0.9521  0.7500  0.4834
S  0.1086  0.7500  0.3113
S  0.8454  0.7500  0.9249
S  0.3078  0.7500  0.7275

Which one is most stable, and which one is least stable? version one is the most stable of them, while version two is the least stable.

Version one
# ZnCuTcBi

Crystalline ZnCuTcBi at its relaxed geometry (GGA-PBE, OQMD).

a b c (Å): 4.6373 4.6373 4.6373
angles (deg): 60.00 60.00 60.00
Fractional coordinates of all 4 atoms:
Tc  0.5000  0.5000  0.5000
Bi  0.0000  0.0000  0.0000
Zn  0.7500  0.7500  0.7500
Cu  0.2500  0.2500  0.2500

Version two
# ZnCuTcBi

Crystalline ZnCuTcBi at its relaxed geometry (GGA-PBE, OQMD).

a b c (Å): 4.5849 4.5849 4.5849
angles (deg): 60.00 60.00 60.00
Fractional coordinates of all 4 atoms:
Cu  0.2500  0.2500  0.2500
Tc  0.7500  0.7500  0.7500
Bi  0.0000  0.0000  0.0000
Zn  0.5000  0.5000  0.5000

Which one is most stable, and which one is least stable? version two is the most stable of them, while version one is the least stable.

Version one
# ZrCuTcBi

Crystalline ZrCuTcBi at its relaxed geometry (GGA-PBE, OQMD).

a b c (Å): 4.6838 4.6838 4.6838
angles (deg): 60.00 60.00 60.00
Fractional coordinates of all 4 atoms:
Tc  0.7500  0.7500  0.7500
Zr  0.2500  0.2500  0.2500
Cu  0.5000  0.5000  0.5000
Bi  0.0000  0.0000  0.0000

Version two
# ZrCuTcBi

Crystalline ZrCuTcBi at its relaxed geometry (GGA-PBE, OQMD).

a b c (Å): 4.7040 4.7040 4.7040
angles (deg): 60.00 60.00 60.00
Fractional coordinates of all 4 atoms:
Cu  0.2500  0.2500  0.2500
Zr  0.5000  0.5000  0.5000
Bi  0.0000  0.0000  0.0000
Tc  0.7500  0.7500  0.7500

Version three
# ZrCuTcBi

Crystalline ZrCuTcBi at its relaxed geometry (GGA-PBE, OQMD).

a b c (Å): 4.7616 4.7616 4.7616
angles (deg): 60.00 60.00 60.00
Fractional coordinates of all 4 atoms:
Zr  0.2500  0.2500  0.2500
Cu  0.7500  0.7500  0.7500
Bi  0.0000  0.0000  0.0000
Tc  0.5000  0.5000  0.5000

Which one is most stable, and which one is least stable? version two is the most stable of them, while version three is the least stable.

Version one
# YCuBiW

Crystalline YCuBiW at its relaxed geometry (GGA-PBE, OQMD).

a b c (Å): 4.9304 4.9304 4.9304
angles (deg): 60.00 60.00 60.00
Fractional coordinates of all 4 atoms:
Bi  0.0000  0.0000  0.0000
W  0.5000  0.5000  0.5000
Y  0.7500  0.7500  0.7500
Cu  0.2500  0.2500  0.2500

Version two
# YCuBiW

Crystalline YCuBiW at its relaxed geometry (GGA-PBE, OQMD).

a b c (Å): 4.8760 4.8760 4.8760
angles (deg): 60.00 60.00 60.00
Fractional coordinates of all 4 atoms:
Y  0.5000  0.5000  0.5000
Bi  0.0000  0.0000  0.0000
Cu  0.2500  0.2500  0.2500
W  0.7500  0.7500  0.7500

Which one is most stable, and which one is least stable? version two is the most stable of them, while version one is the least stable.

Version one
# YZrCuBi

Crystalline YZrCuBi at its relaxed geometry (GGA-PBE, OQMD).

a b c (Å): 5.0473 5.0473 5.0473
angles (deg): 60.00 60.00 60.00
Fractional coordinates of all 4 atoms:
Cu  0.5000  0.5000  0.5000
Y  0.7500  0.7500  0.7500
Zr  0.2500  0.2500  0.2500
Bi  0.0000  0.0000  0.0000

Version two
# YZrCuBi

Crystalline YZrCuBi at its relaxed geometry (GGA-PBE, OQMD).

a b c (Å): 5.1134 5.1134 5.1134
angles (deg): 60.00 60.00 60.00
Fractional coordinates of all 4 atoms:
Y  0.5000  0.5000  0.5000
Zr  0.2500  0.2500  0.2500
Bi  0.0000  0.0000  0.0000
Cu  0.7500  0.7500  0.7500

Which one is most stable, and which one is least stable? version one is the most stable of them, while version two is the least stable.

Version one
# Dy3Er3FeBi2

Crystalline Dy3Er3FeBi2 at its relaxed geometry (GGA-PBE, OQMD).

a b c (Å): 8.3210 8.3210 4.1350
angles (deg): 90.00 90.00 120.00
Fractional coordinates of all 9 atoms:
Er  0.6089  0.0000  0.0000
Er  0.3911  0.3911  0.0000
Er  0.0000  0.6089  0.0000
Bi  0.6667  0.3333  0.5000
Bi  0.3333  0.6667  0.5000
Dy  0.2320  0.0000  0.5000
Dy  0.0000  0.2320  0.5000
Dy  0.7680  0.7680  0.5000
Fe  0.0000  0.0000  0.0000

Version two
# Dy3Er3FeBi2

Crystalline Dy3Er3FeBi2 at its relaxed geometry (GGA-PBE, OQMD).

a b c (Å): 8.2973 8.2973 4.1540
angles (deg): 90.00 90.00 120.00
Fractional coordinates of all 9 atoms:
Dy  0.3885  0.3885  0.0000
Dy  0.0000  0.6115  0.0000
Dy  0.6115  0.0000  0.0000
Er  0.2293  0.0000  0.5000
Er  0.0000  0.2293  0.5000
Er  0.7707  0.7707  0.5000
Bi  0.3333  0.6667  0.5000
Bi  0.6667  0.3333  0.5000
Fe  0.0000  0.0000  0.0000

Which one is most stable, and which one is least stable? version two is the most stable of them, while version one is the least stable.

Version one
# Dy3Hf3FeBi2

Crystalline Dy3Hf3FeBi2 at its relaxed geometry (GGA-PBE, OQMD).

a b c (Å): 8.1636 8.1636 3.7734
angles (deg): 90.00 90.00 120.00
Fractional coordinates of all 9 atoms:
Dy  0.2433  0.0000  0.0000
Dy  0.7567  0.7567  0.0000
Dy  0.0000  0.2433  0.0000
Bi  0.3333  0.6667  0.0000
Bi  0.6667  0.3333  0.0000
Fe  0.0000  0.0000  0.5000
Hf  0.0000  0.6154  0.5000
Hf  0.6154  0.0000  0.5000
Hf  0.3846  0.3846  0.5000

Version two
# Dy3Hf3FeBi2

Crystalline Dy3Hf3FeBi2 at its relaxed geometry (GGA-PBE, OQMD).

a b c (Å): 7.9626 7.9626 4.1005
angles (deg): 90.00 90.00 120.00
Fractional coordinates of all 9 atoms:
Bi  0.3333  0.6667  0.0000
Bi  0.6667  0.3333  0.0000
Dy  0.0000  0.6113  0.5000
Dy  0.3887  0.3887  0.5000
Dy  0.6113  0.0000  0.5000
Fe  0.0000  0.0000  0.5000
Hf  0.0000  0.2159  0.0000
Hf  0.2159  0.0000  0.0000
Hf  0.7841  0.7841  0.0000

Which one is most stable, and which one is least stable? version two is the most stable of them, while version one is the least stable.

Version one
# Dy3Sc3FeBi2

Crystalline Dy3Sc3FeBi2 at its relaxed geometry (GGA-PBE, OQMD).

a b c (Å): 8.1815 8.1815 3.9653
angles (deg): 90.00 90.00 120.00
Fractional coordinates of all 9 atoms:
Bi  0.3333  0.6667  0.5000
Bi  0.6667  0.3333  0.5000
Dy  0.7628  0.7628  0.5000
Dy  0.2372  0.0000  0.5000
Dy  0.0000  0.2372  0.5000
Sc  0.3856  0.3856  0.0000
Sc  0.6144  0.0000  0.0000
Sc  0.0000  0.6144  0.0000
Fe  0.0000  0.0000  0.0000

Version two
# Dy3Sc3FeBi2

Crystalline Dy3Sc3FeBi2 at its relaxed geometry (GGA-PBE, OQMD).

a b c (Å): 7.9839 7.9839 4.1286
angles (deg): 90.00 90.00 120.00
Fractional coordinates of all 9 atoms:
Dy  0.6148  0.0000  0.0000
Dy  0.3852  0.3852  0.0000
Dy  0.0000  0.6148  0.0000
Bi  0.6667  0.3333  0.5000
Bi  0.3333  0.6667  0.5000
Sc  0.7790  0.7790  0.5000
Sc  0.2210  0.0000  0.5000
Sc  0.0000  0.2210  0.5000
Fe  0.0000  0.0000  0.0000

Which one is most stable, and which one is least stable? version two is the most stable of them, while version one is the least stable.